No. 1
Here is an optimized crystal structure of Cu3Sn12Pd5 from the Alexandria database. Energies are from PBE.

```
80
Lattice="13.6697 0.0000 0.0000 -4.5566 12.8879 0.0000 -4.5566 -6.4440 11.1613" Properties=species:S:1:pos:R:3 pbc="T T T"
Cu 7.9740 4.0275 1.3952
Cu 7.9740 8.8604 1.3952
Cu -1.1391 5.6385 6.9758
Cu 1.1391 -0.8055 4.1855
Cu 10.2523 0.0000 2.7903
Cu 1.1391 6.4440 2.7903
Cu 3.4174 0.0000 8.3709
Cu -5.6957 6.4440 8.3709
Cu 3.4174 7.2494 6.9758
Cu 5.6957 0.8055 4.1855
Cu -3.4174 -2.4165 9.7661
Cu -3.4174 2.4165 9.7661
Pd -1.1391 3.2220 2.7903
Pd -2.2783 6.4440 0.0000
Pd 0.0000 0.0000 0.0000
Pd 3.4174 2.4165 1.3952
Pd 4.5566 -3.2220 5.5806
Pd 4.5566 6.4440 0.0000
Pd -3.4174 7.2494 4.1855
Pd 5.6957 -4.0275 9.7661
Pd 5.6957 5.6385 4.1855
Pd 1.1391 -3.2220 8.3709
Pd 3.4174 9.6659 2.7903
Pd 2.2783 3.2220 5.5806
Pd 6.8348 0.0000 0.0000
Pd -2.2783 -3.2220 5.5806
Pd -1.1391 0.8055 6.9758
Pd -1.1391 10.4714 1.3952
Pd -4.5566 3.2220 5.5806
Pd 7.9740 -0.8055 6.9758
Pd 1.1391 4.0275 9.7661
Pd 5.6957 3.2220 8.3709
Sn 9.1555 1.2278 0.6587
Sn -0.0424 4.4063 4.8466
Sn 9.9277 3.1026 3.0021
Sn 6.0203 2.1734 1.3926
Sn 1.8942 5.0910 7.5005
Sn 9.5013 6.1830 1.9199
Sn -0.8146 7.3731 4.3947
Sn -3.7420 10.7145 1.3926
Sn 0.3840 7.7969 7.5005
Sn 6.4467 6.7049 1.9199
Sn 6.7925 3.2655 4.1880
Sn 6.7925 11.6601 0.6587
Sn -4.1725 5.8192 6.2393
Sn 2.6664 4.9117 1.1859
Sn -4.5142 9.6224 4.1880
Sn 2.2359 -2.0377 6.3146
Sn -0.3840 0.7282 2.5786
Sn 2.6664 8.2371 0.7340
Sn 6.0203 9.7853 3.0021
Sn -0.3881 4.6508 0.7340
Sn -2.6623 7.1721 8.5827
Sn 3.0928 5.5148 4.3947
Sn 6.4508 7.0687 6.2393
Sn 4.9447 -1.5322 9.9753
Sn 1.4637 0.9292 6.7666
Sn -1.8942 -0.6248 4.9220
Sn -0.3881 7.9762 1.1859
Sn -1.4637 -3.3413 8.1592
Sn 7.2189 -0.7282 2.5786
Sn 4.9447 1.7932 10.4273
Sn 1.8901 -1.7932 10.4273
Sn 2.3207 8.4816 4.8466
Sn 4.9406 5.7158 8.5827
Sn 9.0708 -3.1785 6.9733
Sn 8.7291 0.6248 4.9220
Sn -2.2359 -5.2161 10.5026
Sn 1.8901 1.5322 9.9753
Sn 4.1725 -1.3530 3.6607
Sn -1.8901 -0.2609 9.2413
Sn -2.2359 3.1785 6.9733
Sn 8.2986 -4.2705 9.7686
Sn 5.3711 -0.9292 6.7666
Sn -1.4637 4.2705 9.7686
Sn -4.9447 0.2609 9.2413
Sn 2.6623 1.3530 3.6607
Sn -5.3711 3.3413 8.1592
Sn 4.5989 2.0377 6.3146
Sn -4.5989 5.2161 10.5026
```

Calculated values
Mass density   7.253 g cm⁻³
Energy of formation from the pure elements   -0.06 eV per atom
Total moment   0.0 Bohr magnetons per cell

---

No. 2
Here is an optimized crystal structure of BePtRh2 from the Alexandria database. Energies are from PBE.

```
16
Lattice="5.6138 0.0000 0.0012 0.0000 4.3292 0.0000 -2.8051 0.0000 8.6397" Properties=species:S:1:pos:R:3 pbc="T T T"
Be 0.0000 2.1646 0.0000
Be -1.4026 0.0000 4.3198
Be 1.4043 0.0000 4.3204
Be 2.8069 2.1646 0.0006
Rh 4.2118 0.0000 0.0533
Rh -1.4032 0.0000 8.5875
Rh 2.8093 2.1646 4.3731
Rh -0.0006 2.1646 4.2677
Rh 2.8195 0.0000 6.1778
Rh -0.0108 0.0000 2.4630
Rh 4.2220 2.1646 1.8580
Rh -1.4134 2.1646 6.7828
Pt 2.8161 0.0000 2.5151
Pt -0.0075 0.0000 6.1258
Pt 1.4136 2.1646 6.8349
Pt 1.3951 2.1646 1.8059
```

Calculated values
Mass density   12.966 g cm⁻³
Energy of formation from the pure elements   -0.24 eV per atom
Total moment   2.2 Bohr magnetons per cell

---

No. 3
Here is an optimized crystal structure of IrWAu from the Alexandria database. Energies are from PBE.

```
3
Lattice="-1.6230 3.9941 0.1180 -3.3949 1.0216 -2.4559 -3.8433 0.7129 1.8224" Properties=species:S:1:pos:R:3 pbc="T T T"
Au -4.4306 2.8642 -0.2577
Ir -6.6460 4.2964 -0.3866
W 0.0000 0.0000 0.0000
```

Calculated values
Mass density   16.774 g cm⁻³
Energy above the lowest structure with this stoichiometry   533.7 meV/atom
Energy of formation from the pure elements   0.60 eV per atom
Total moment   0.0 Bohr magnetons per cell